Record 1
KFe3: optimized geometry, PBE-GGA.

## Properties
Formation energy   727 meV/atom

Cell lengths 2.7595, 4.0591, 7.1226 Å; angles 90.00, 90.00, 90.00 degrees
Closest atoms and distances in Å follow each position.
Space group Pmm2 (No. 25)
Unique sites:
K: 0.0000 0.0000 0.0000 [1 per cell]  2 K 2.76
Fe: 0.0000 0.5000 0.6186 [1 per cell]  6 Fe 2.35-2.52
Fe: 0.5000 0.0000 0.5403 [1 per cell]  6 Fe 2.43-2.52
Fe: 0.5000 0.5000 0.3519 [1 per cell]  4 Fe 2.35-2.43

***

Record 2
SrCu5S4: optimized geometry, PBE-GGA.

## Properties
E_tot   -86.2 eV/cell

Cell lengths 3.8007, 7.1105, 12.7557 Å; angles 90.00, 90.00, 90.00 degrees
Closest atoms and distances in Å follow each position.
Space group Immm (No. 71)
Unique sites:
Sr: 0.0000 0.0000 0.0000 [2 per cell]  6 S 2.83-2.93
Cu: 0.0000 0.2926 0.3207 [8 per cell]  4 S 2.37-2.49
Cu: 0.0000 0.5000 0.0000 [2 per cell]  4 S 2.40
S: 0.0000 0.0000 0.2294 [4 per cell]  6 Cu 2.38-2.49
S: 0.0000 0.2054 0.5000 [4 per cell]  4 Cu 2.37-2.40

***

Record 3
HoScPd: optimized geometry, PBE-GGA.

## Properties
Energy relative to the lowest polymorph listed for this composition   0 meV per atom
Formation energy   -632 meV/atom

Cell lengths 4.7380, 12.2587, 7.0917 Å; angles 90.00, 90.00, 90.00 degrees
Closest atoms and distances in Å follow each position.
Space group Amm2 (No. 38)
Unique sites:
Ho: 0.0000 0.0000 0.0000 [2 per cell]  5 Pd 2.89-3.19
Ho: 0.0000 0.2040 0.6113 [4 per cell]  5 Pd 2.89-3.20
Sc: 0.5000 0.0000 0.6664 [2 per cell]  2 Pd 2.66
Sc: 0.5000 0.1296 0.2784 [4 per cell]  2 Pd 2.66-2.67
Pd: 0.0000 0.0000 0.4073 [2 per cell]  3 Ho 2.89, 6 Sc 3.00
Pd: 0.5000 0.1665 0.9080 [4 per cell]  3 Sc 2.66-2.67

***

Which DOS(E_F) belongs to each record? In order, 3.62, 10.90, 23.55 states/eV per cell.
Which density belongs to each record? In order, 4301, 5141, 7651 kg/m³.